Record 1
This record from the Alexandria database describes a relaxed NiIrCl2 crystal. The functional is GGA-PBE.

Structure (CIF):
```
data_NiIrCl2
_chemical_formula_sum 'Ni4 Ir4 Cl8'
_space_group_name_H-M_alt 'I -4 2 d'
_space_group_IT_number 122
_space_group_name_Hall 'I -4 2bw'
_cell_length_a 5.634
_cell_length_b 5.634
_cell_length_c 9.285
_cell_angle_alpha 90.00
_cell_angle_beta 90.00
_cell_angle_gamma 90.00
loop_
_atom_site_label
_atom_site_fract_x
_atom_site_fract_y
_atom_site_fract_z
Ni1 0.000 0.000 0.000
Ir1 0.000 0.000 0.500
Cl1 0.228 0.250 0.125
```

Computed properties:
Calculated volume (Å³/cell): 294.7
N(E_F) (states/eV/cell): 29.44
Formation energy (no corrections) (eV per atom): 0.65


Record 2
This record from the Alexandria database describes a relaxed NiIr2Cl crystal. The functional is GGA-PBE.

Structure (CIF):
```
data_NiIr2Cl
_chemical_formula_sum 'Ni2 Ir4 Cl2'
_space_group_name_H-M_alt 'C m m m'
_space_group_IT_number 65
_space_group_name_Hall '-C 2 2'
_cell_length_a 5.649
_cell_length_b 7.201
_cell_length_c 2.765
_cell_angle_alpha 90.00
_cell_angle_beta 90.00
_cell_angle_gamma 90.00
loop_
_atom_site_label
_atom_site_fract_x
_atom_site_fract_y
_atom_site_fract_z
Ni1 0.000 0.000 0.000
Ir1 0.250 0.250 0.500
Cl1 0.000 0.500 0.000
```

Computed properties:
Calculated volume (Å³/cell): 112.5
N(E_F) (states/eV/cell): 8.30
Formation energy (no corrections) (eV per atom): 0.91


Record 3
This record from the Alexandria database describes a relaxed NiIrCl2 crystal. The functional is GGA-PBE.

Structure (CIF):
```
data_NiIrCl2
_chemical_formula_sum 'Ni2 Ir2 Cl4'
_space_group_name_H-M_alt 'C 1 2/m 1'
_space_group_IT_number 12
_space_group_name_Hall '-C 2y'
_cell_length_a 13.116
_cell_length_b 2.929
_cell_length_c 4.537
_cell_angle_alpha 90.00
_cell_angle_beta 97.34
_cell_angle_gamma 90.00
loop_
_atom_site_label
_atom_site_fract_x
_atom_site_fract_y
_atom_site_fract_z
Ni1 0.000 0.000 0.000
Ir1 0.000 0.500 0.500
Cl1 0.133 0.500 0.223
```

Computed properties:
Calculated volume (Å³/cell): 172.9
N(E_F) (states/eV/cell): 9.01
Formation energy (no corrections) (eV per atom): 0.21